Entry 1:
## BaMn2Ru (PBE)

Data for a geometry-optimized BaMn2Ru structure. Values from VASP.

Cell and atoms, written as Quantum ESPRESSO input:
```
&SYSTEM
  ibrav = 0, nat = 4, ntyp = 3
/
ATOMIC_SPECIES
Ba 137.33 Ba.upf
Mn 54.94 Mn.upf
Ru 101.07 Ru.upf
CELL_PARAMETERS angstrom
0.000 3.227 3.227
3.227 0.000 3.227
3.227 3.227 0.000
ATOMIC_POSITIONS angstrom
Ba 0.000 0.000 0.000
Mn 1.613 1.613 1.613
Mn 4.840 4.840 4.840
Ru 3.227 3.227 3.227
```

**VASP energy**: -5.979 eV per atom
**Symmetry**: Fm-3m, No. 225

=====

Entry 2:
## BaMn2Ru (PBE)

Data for a geometry-optimized BaMn2Ru structure. Values from VASP.

Cell and atoms, written as Quantum ESPRESSO input:
```
&SYSTEM
  ibrav = 0, nat = 4, ntyp = 3
/
ATOMIC_SPECIES
Ba 137.33 Ba.upf
Mn 54.94 Mn.upf
Ru 101.07 Ru.upf
CELL_PARAMETERS angstrom
2.952 -3.942 0.000
2.952 3.942 0.000
0.000 0.000 3.390
ATOMIC_POSITIONS angstrom
Ba 0.000 0.000 0.000
Mn 1.476 1.971 1.695
Mn 1.476 -1.971 1.695
Ru 2.952 0.000 0.000
```

**VASP energy**: -6.429 eV per atom
**Symmetry**: Cmmm, No. 65

=====

Entry 3:
## BaMn2Ru (PBE)

Data for a geometry-optimized BaMn2Ru structure. Values from VASP.

Cell and atoms, written as Quantum ESPRESSO input:
```
&SYSTEM
  ibrav = 0, nat = 4, ntyp = 3
/
ATOMIC_SPECIES
Ba 137.33 Ba.upf
Mn 54.94 Mn.upf
Ru 101.07 Ru.upf
CELL_PARAMETERS angstrom
0.000 3.427 3.427
3.427 0.000 3.427
3.427 3.427 0.000
ATOMIC_POSITIONS angstrom
Ba 0.000 0.000 0.000
Mn 3.427 3.427 3.427
Mn 5.140 5.140 5.140
Ru 1.713 1.713 1.713
```

**VASP energy**: -6.411 eV per atom
**Symmetry**: F-43m, No. 216

=====

Theoretical density / g cm⁻³: 8.61, 7.33, 7.19
Energy of formation / eV/f.u.: 5.6, 3.8, 3.9
Relative energy among the computed polymorphs / eV per atom: 1.0546, 0.6043, 0.6221